(1)
TbCdAu: optimized geometry, PBE.

The structure in CIF format:
```
data_TbCdAu
_chemical_formula_sum 'Tb2 Cd2 Au2'
_cell_length_a 3.7890
_cell_length_b 3.7890
_cell_length_c 9.5983
_cell_angle_alpha 90.00
_cell_angle_beta 90.00
_cell_angle_gamma 90.00
_space_group_name_H-M_alt 'I 4 m m'
_space_group_IT_number 107
_space_group_name_Hall 'I 4 -2'
loop_
_atom_site_label
_atom_site_fract_x
_atom_site_fract_y
_atom_site_fract_z
Tb1 0.0000 0.0000 0.0000
Cd1 0.0000 0.0000 0.3197
Au1 0.0000 0.0000 0.6615
```

Calculated values
Total magnetization in μB per cell: 0.00
ΔE_f in eV/f.u.: -1.598

---

(2)
Ba2Li3RuO6: optimized geometry, PBE.

The structure in CIF format:
```
data_Ba2Li3RuO6
_chemical_formula_sum 'Ba4 Li6 Ru2 O12'
_cell_length_a 5.9406
_cell_length_b 11.8557
_cell_length_c 5.1733
_cell_angle_alpha 90.00
_cell_angle_beta 111.16
_cell_angle_gamma 90.00
_space_group_name_H-M_alt 'C 1 2/m 1'
_space_group_IT_number 12
loop_
_space_group_symop_operation_xyz
'x,y,z'
'-x,-y,-z'
'-x,y,-z'
'x,-y,z'
'x+1/2,y+1/2,z'
'-x+1/2,-y+1/2,-z'
'-x+1/2,y+1/2,-z'
'x+1/2,-y+1/2,z'
loop_
_atom_site_label
_atom_site_fract_x
_atom_site_fract_y
_atom_site_fract_z
Ba1 0.0000 0.1727 0.0000
Li1 0.0000 0.0000 0.5000
Li2 0.0000 0.4048 0.5000
Ru1 0.0000 0.5000 0.0000
O1 0.1995 0.3794 0.2604
O2 0.2214 0.5000 0.7856
```

Calculated values
Total magnetization in μB per cell: 6.00
Raw formation energy in eV per atom: -1.827

---

(3)
Th2CuSi3Ir4: optimized geometry, PBE.

The structure in CIF format:
```
data_Th2CuSi3Ir4
_chemical_formula_sum 'Th2 Cu1 Si3 Ir4'
_cell_length_a 4.1684
_cell_length_b 4.1684
_cell_length_c 10.1238
_cell_angle_alpha 90.00
_cell_angle_beta 90.00
_cell_angle_gamma 90.00
_space_group_name_H-M_alt 'P -4 m 2'
_space_group_IT_number 115
loop_
_space_group_symop_operation_xyz
'x,y,z'
'y,-x,-z'
'-x,-y,z'
'-y,x,-z'
'-x,y,z'
'-y,-x,-z'
'x,-y,z'
'y,x,-z'
loop_
_atom_site_label
_atom_site_fract_x
_atom_site_fract_y
_atom_site_fract_z
Th1 0.0000 0.5000 0.2405
Cu1 0.5000 0.5000 0.0000
Si1 0.0000 0.0000 0.0000
Si2 0.0000 0.5000 0.6280
Ir1 0.0000 0.0000 0.5000
Ir2 0.0000 0.5000 0.8622
Ir3 0.5000 0.5000 0.5000
```

Calculated values
Total magnetization in μB per cell: 0.00
Raw formation energy in eV per atom: -0.946